[1]
# Mg8Bi3Ir2 PBE-GGA optimized geometry
data_Mg8Bi3Ir2
_symmetry_space_group_name_H-M 'C m m m'
_symmetry_Int_Tables_number 65
_symmetry_space_group_name_Hall '-C 2 2'
_cell_length_a 8.977
_cell_length_b 14.777
_cell_length_c 4.657
_cell_angle_alpha 90.00
_cell_angle_beta 90.00
_cell_angle_gamma 90.00
loop_
_atom_site_label
_atom_site_type_symbol
_atom_site_fract_x
_atom_site_fract_y
_atom_site_fract_z
_atom_site_occupancy
Mg1 Mg 0.000 0.136 0.000 1
Mg2 Mg 0.000 0.323 0.000 1
Mg3 Mg 0.224 0.347 0.500 1
Bi1 Bi 0.000 0.000 0.500 1
Bi2 Bi 0.193 0.500 0.000 1
Ir1 Ir 0.000 0.226 0.500 1
# - M_tot (μB per atom) = 0.00
# - energy of formation (kJ/mol of formula units) = -258

---

[2]
# Pm5Th3Bi8 PBE-GGA optimized geometry
data_Pm5Th3Bi8
_symmetry_space_group_name_H-M 'R -3 m'
_symmetry_Int_Tables_number 166
_symmetry_space_group_name_Hall '-R 3 2"'
_cell_length_a 9.1783
_cell_length_b 9.1783
_cell_length_c 22.4425
_cell_angle_alpha 90.00
_cell_angle_beta 90.00
_cell_angle_gamma 120.00
loop_
_atom_site_label
_atom_site_type_symbol
_atom_site_fract_x
_atom_site_fract_y
_atom_site_fract_z
_atom_site_occupancy
Pm1 Pm 0.0000 0.0000 0.0000 1
Pm2 Pm 0.0000 0.0000 0.5000 1
Pm3 Pm 0.0000 0.5000 0.0000 1
Th1 Th 0.0000 0.5000 0.5000 1
Bi1 Bi 0.0000 0.0000 0.2506 1
Bi2 Bi 0.0004 0.5002 0.2502 1
# - M_tot (μB per atom) = 0.00
# - energy of formation (kJ/mol of formula units) = -1254

---

[3]
# CeScTi2 PBE-GGA optimized geometry
data_CeScTi2
_symmetry_space_group_name_H-M 'P 4/m m m'
_symmetry_Int_Tables_number 123
_symmetry_space_group_name_Hall '-P 4 2'
_cell_length_a 4.447
_cell_length_b 4.447
_cell_length_c 4.285
_cell_angle_alpha 90.00
_cell_angle_beta 90.00
_cell_angle_gamma 90.00
loop_
_atom_site_label
_atom_site_type_symbol
_atom_site_fract_x
_atom_site_fract_y
_atom_site_fract_z
_atom_site_occupancy
Ce1 Ce 0.000 0.000 0.000 1
Sc1 Sc 0.500 0.500 0.000 1
Ti1 Ti 0.000 0.500 0.500 1
# - M_tot (μB per atom) = 0.00
# - ΔE to the lowest computed polymorph (eV per atom) = 0.000
# - energy of formation (kJ/mol of formula units) = 68

---

[4]
# BaSc2Mn PBE-GGA optimized geometry
data_BaSc2Mn
_symmetry_space_group_name_H-M 'I m m 2'
_symmetry_Int_Tables_number 44
_symmetry_space_group_name_Hall 'I 2 -2'
_cell_length_a 3.313
_cell_length_b 4.554
_cell_length_c 15.547
_cell_angle_alpha 90.00
_cell_angle_beta 90.00
_cell_angle_gamma 90.00
loop_
_atom_site_label
_atom_site_type_symbol
_atom_site_fract_x
_atom_site_fract_y
_atom_site_fract_z
_atom_site_occupancy
Ba1 Ba 0.000 0.000 0.000 1
Sc1 Sc 0.000 0.000 0.672 1
Sc2 Sc 0.000 0.500 0.808 1
Mn1 Mn 0.000 0.500 0.309 1
# - M_tot (μB per atom) = 0.42
# - ΔE to the lowest computed polymorph (eV per atom) = 0.210
# - energy of formation (kJ/mol of formula units) = 173